MgSiGe | GGA-PBE | optimized geometry

Cell lengths 4.6002, 5.0193, 6.0324 Å; angles 67.91, 70.06, 64.53 degrees
Sites, in units of the cell vectors:
Mg 0.0000 0.0000 0.0000
Mg 0.0000 0.5000 0.5000
Si 0.3016 0.3894 0.0017
Si 0.6984 0.6106 0.9983
Ge 0.3830 0.8961 0.3492
Ge 0.6170 0.1039 0.6508

Values from the calculation:
polymorph energy (0 for the lowest one): 81.7 meV per atom
symmetry: P-1, No. 2
E_form (uncorrected): 81 meV per atom
theoretical density: 3.65 g cm⁻³
electronic total energy: -3.80 eV per atom